Entry 1:
Compound: CsIn2Se2
Source: Alexandria
Functional: PBE
Structure: relaxed

E_form (uncorrected)   -12.51 kcal/mol of atoms
Crystal system   tetragonal
ΔE to the lowest computed polymorph   83 meV per atom

a = 5.344 Å, b = 5.344 Å, c = 13.445 Å
α = 90.00°, β = 90.00°, γ = 90.00°
Space group I4/mmm (No. 139)
One atom of each set of equivalent atoms:
Cs 0.000 0.000 0.000
In 0.000 0.500 0.250
Se 0.000 0.000 0.337


Entry 2:
Compound: CsCa5
Source: Alexandria
Functional: PBE
Structure: relaxed

Crystal system   orthorhombic
ΔE_f   0.17 eV/atom

a = 6.762 Å, b = 20.332 Å, c = 4.173 Å
α = 90.00°, β = 90.00°, γ = 90.00°
Space group Cmmm (No. 65)
One atom of each set of equivalent atoms:
Cs 0.000 0.000 0.000
Ca 0.000 0.183 0.500
Ca 0.000 0.338 0.000
Ca 0.000 0.500 0.500


Entry 3:
Compound: Y7Rh3
Source: Alexandria
Functional: PBE
Structure: relaxed

Crystal system   hexagonal
ΔE_f   -0.60 eV/atom

a = 9.8398 Å, b = 9.8398 Å, c = 6.2186 Å
α = 90.00°, β = 90.00°, γ = 120.00°
Space group P6_3mc (No. 186)
One atom of each set of equivalent atoms:
Y 0.0829 0.5414 0.0000
Y 0.1238 0.2476 0.3080
Y 0.3333 0.6667 0.5123
Rh 0.1897 0.3794 0.7356


Entry 4:
Compound: RbMnGe
Source: Alexandria
Functional: PBE
Structure: relaxed

Crystal system   monoclinic
ΔE_f   0.32 eV/atom

a = 7.301 Å, b = 3.347 Å, c = 13.790 Å
α = 90.00°, β = 104.17°, γ = 90.00°
Space group C2/m (No. 12)
One atom of each set of equivalent atoms:
Rb 0.058 0.000 0.331
Mn 0.161 0.500 0.965
Ge 0.172 0.500 0.137


Entry 5:
Compound: KPtSN2
Source: Alexandria
Functional: PBE
Structure: relaxed

E_form (uncorrected)   21.38 kcal/mol of atoms
Crystal system   tetragonal
ΔE to the lowest computed polymorph   0 meV per atom

a = 4.119 Å, b = 4.119 Å, c = 5.159 Å
α = 90.00°, β = 90.00°, γ = 90.00°
Space group P4/mmm (No. 123)
One atom of each set of equivalent atoms:
K 0.000 0.000 0.000
Pt 0.500 0.500 0.500
S 0.500 0.500 0.000
N 0.000 0.500 0.500


Entry 6:
Compound: Cs2NaSe
Source: Alexandria
Functional: PBE
Structure: relaxed

E_form (uncorrected)   -12.66 kcal/mol of atoms
Crystal system   trigonal
ΔE to the lowest computed polymorph   142 meV per atom

a = 5.1492 Å, b = 5.1492 Å, c = 38.9125 Å
α = 90.00°, β = 90.00°, γ = 120.00°
Space group R-3m (No. 166, hexagonal axes)
One atom of each set of equivalent atoms:
Cs 0.0000 0.0000 0.1210
Na 0.0000 0.0000 0.0000
Se 0.0000 0.0000 0.5000


We obtain V values of 192, 287, 261, 82, 88, 298 Å³/f.u. for the records listed above, in that order.